Record 1
Computed, not measured: an optimized crystal structure of HfSnO at the PBE-GGA level of DFT.

E_form (uncorrected) = -1346 meV/atom
uncorrected energy = -7.65 eV/atom

a b c (Å): 14.567 3.133 3.133
angles (deg): 60.04 90.00 90.00
Atoms (fractional coordinates):
Hf  0.000  0.000  0.000
Hf  0.500  0.292  0.292
Sn  0.184  0.334  0.334
Sn  0.816  0.334  0.334
O  0.420  0.958  0.958
O  0.580  0.958  0.958



Record 2
Computed, not measured: an optimized crystal structure of Tb8As4P3S at the PBE-GGA level of DFT.

E_form (uncorrected) = -1654 meV/atom
uncorrected energy = -6.40 eV/atom

a b c (Å): 8.146 8.146 8.146
angles (deg): 59.99 59.99 59.99
Atoms (fractional coordinates):
Tb  0.245  0.750  0.750
Tb  0.248  0.248  0.248
Tb  0.250  0.250  0.755
Tb  0.250  0.755  0.250
Tb  0.750  0.245  0.750
Tb  0.750  0.750  0.245
Tb  0.752  0.752  0.752
Tb  0.755  0.250  0.250
As  0.000  0.000  0.000
As  0.000  0.500  0.500
As  0.500  0.000  0.500
As  0.500  0.500  0.000
P  0.000  0.000  0.500
P  0.000  0.500  0.000
P  0.500  0.000  0.000
S  0.500  0.500  0.500



Record 3
Computed, not measured: an optimized crystal structure of ScSiC at the PBE-GGA level of DFT.

E_form (uncorrected) = -188 meV/atom
uncorrected energy = -7.18 eV/atom

a b c (Å): 6.189 6.189 4.190
angles (deg): 107.78 107.78 32.03
Atoms (fractional coordinates):
Sc  0.000  0.000  0.000
Sc  0.226  0.226  0.724
Si  0.506  0.506  0.502
Si  0.836  0.836  0.347
C  0.623  0.623  0.933
C  0.629  0.629  0.285



Which formula does entry 3 have? ScSiC



Among the records above, which one has the highest E_form (uncorrected)? ScSiC